VASP calculation (SCAN) on a crystal of CdSiRh relaxed with PBEsol.

a = 5.9439 Å, b = 5.9439 Å, c = 5.9439 Å
α = 90.00°, β = 90.00°, γ = 90.00°
Positions (direct):
Cd 0.0000 0.0000 0.0000
Cd 0.0000 0.5000 0.5000
Cd 0.5000 0.0000 0.5000
Cd 0.5000 0.5000 0.0000
Si 0.0000 0.0000 0.5000
Si 0.0000 0.5000 0.0000
Si 0.5000 0.0000 0.0000
Si 0.5000 0.5000 0.5000
Rh 0.2500 0.2500 0.7500
Rh 0.2500 0.7500 0.2500
Rh 0.7500 0.2500 0.2500
Rh 0.7500 0.7500 0.7500

E_form (uncorrected) = -0.30 eV per formula unit
Mass density = 7.70 Mg/m³
SG = F-43m, No. 216
E_tot = -0.91257 hartree per atom
M_tot = 0.000 μB/atom

VASP calculation (SCAN) on a crystal of LaAlPb relaxed with PBEsol.

a = 4.5717 Å, b = 4.5717 Å, c = 4.4978 Å
α = 90.00°, β = 90.00°, γ = 120.00°
Positions (direct):
La 0.0000 0.0000 0.0000
Al 0.6667 0.3333 0.3836
Pb 0.3333 0.6667 0.5605

Mass density = 7.61 Mg/m³
SG = P3m1, No. 156
E_tot = -1.57433 hartree per atom
M_tot = 0.000 μB/atom
Formation enthalpy at 0 K = -0.627 eV/atom